DFT (PBEsol) results for a relaxed LiLu2Au crystal.

Results
crystal system	cubic
DOS at the Fermi energy	2.05	states/eV/f.u.
uncorrected energy	-17.4	eV/cell
formation enthalpy at 0 K	-452	meV per atom
space-group type	Fm-3m

a = 4.910 Å, b = 4.910 Å, c = 4.910 Å
α = 60.00°, β = 60.00°, γ = 60.00°
Fractional coordinates of all 4 atoms:
Li 0.000 0.000 0.000
Lu 0.250 0.250 0.250
Lu 0.750 0.750 0.750
Au 0.500 0.500 0.500